Compound: CsAgI2F
Source: the Alexandria database
Functional: PBE
Structure: optimized geometry

a = 5.9368 Å, b = 5.9368 Å, c = 4.6315 Å
α = 90.00°, β = 90.00°, γ = 90.00°
Fractional coordinates of all 5 atoms:
Cs1 0.0000 0.0000 0.0000
Ag1 0.5000 0.5000 0.5000
I1 0.0000 0.5000 0.5000
I2 0.5000 0.0000 0.5000
F1 0.5000 0.5000 0.0000

formation energy (no corrections) = -1.00 eV/atom
uncorrected energy = -13.66 eV for the cell shown

***

Compound: CsAg2I2F
Source: the Alexandria database
Functional: PBE
Structure: optimized geometry

a = 9.0214 Å, b = 6.1615 Å, c = 9.0680 Å
α = 90.00°, β = 108.02°, γ = 90.00°
Fractional coordinates of all 12 atoms:
Cs1 0.1868 0.2500 0.3139
Cs2 0.8132 0.7500 0.6861
Ag1 0.3323 0.9998 0.8338
Ag2 0.3323 0.5002 0.8338
Ag3 0.6677 0.0002 0.1662
Ag4 0.6677 0.4998 0.1662
I1 0.0864 0.2500 0.8636
I2 0.3606 0.7500 0.5882
I3 0.6394 0.2500 0.4118
I4 0.9136 0.7500 0.1364
F1 0.4542 0.7500 0.0464
F2 0.5458 0.2500 0.9536

formation energy (no corrections) = -0.95 eV/atom
uncorrected energy = -34.42 eV for the cell shown

***

Compound: CsAgIF6
Source: the Alexandria database
Functional: PBE
Structure: optimized geometry

a = 5.4147 Å, b = 5.5653 Å, c = 6.3056 Å
α = 84.22°, β = 88.14°, γ = 74.50°
Fractional coordinates of all 9 atoms:
Cs1 0.0000 0.0000 0.0000
Ag1 0.3141 0.3559 0.4774
I1 0.6209 0.6873 0.5252
F1 0.2505 0.9123 0.5294
F2 0.4938 0.6370 0.8264
F3 0.5423 0.8717 0.2231
F4 0.6635 0.0938 0.5864
F5 0.9444 0.5208 0.3067
F6 0.9482 0.4862 0.7121

formation energy (no corrections) = -1.64 eV/atom
uncorrected energy = -31.26 eV for the cell shown

***

Compound: CsInAg2F6
Source: the Alexandria database
Functional: PBE
Structure: optimized geometry

a = 6.6767 Å, b = 6.6767 Å, c = 6.6767 Å
α = 56.62°, β = 56.62°, γ = 56.62°
Fractional coordinates of all 10 atoms:
Cs1 0.0000 0.0000 0.0000
In1 0.4781 0.4781 0.4781
Ag1 0.2719 0.2719 0.2719
Ag2 0.7886 0.7886 0.7886
F1 0.1126 0.6155 0.4600
F2 0.2603 0.5276 0.8366
F3 0.4600 0.1126 0.6155
F4 0.5276 0.8366 0.2603
F5 0.6155 0.4600 0.1126
F6 0.8366 0.2603 0.5276

formation energy (no corrections) = -1.97 eV/atom
uncorrected energy = -40.25 eV for the cell shown

***

Compound: Cs3InAg2F9
Source: the Alexandria database
Functional: PBE
Structure: optimized geometry

a = 6.4550 Å, b = 6.4550 Å, c = 7.9492 Å
α = 90.00°, β = 90.00°, γ = 120.00°
Fractional coordinates of all 15 atoms:
Cs1 0.0000 0.0000 0.0000
Cs2 0.3333 0.6667 0.6817
Cs3 0.6667 0.3333 0.3183
In1 0.0000 0.0000 0.5000
Ag1 0.3333 0.6667 0.1657
Ag2 0.6667 0.3333 0.8343
F1 0.0000 0.5000 0.0000
F2 0.1555 0.3109 0.3470
F3 0.1555 0.8445 0.3470
F4 0.3109 0.1555 0.6530
F5 0.5000 0.0000 0.0000
F6 0.5000 0.5000 0.0000
F7 0.6891 0.8445 0.3470
F8 0.8445 0.1555 0.6530
F9 0.8445 0.6891 0.6530

formation energy (no corrections) = -2.21 eV/atom
uncorrected energy = -60.98 eV for the cell shown

***

Compound: Cs2AgIrF6
Source: the Alexandria database
Functional: PBE
Structure: optimized geometry

a = 6.4032 Å, b = 6.4032 Å, c = 6.4032 Å
α = 60.00°, β = 60.00°, γ = 60.00°
Fractional coordinates of all 10 atoms:
Cs1 0.2500 0.2500 0.2500
Cs2 0.7500 0.7500 0.7500
Ag1 0.0000 0.0000 0.0000
Ir1 0.5000 0.5000 0.5000
F1 0.2730 0.2730 0.7270
F2 0.2730 0.7270 0.2730
F3 0.2730 0.7270 0.7270
F4 0.7270 0.2730 0.2730
F5 0.7270 0.2730 0.7270
F6 0.7270 0.7270 0.2730

formation energy (no corrections) = -1.92 eV/atom
uncorrected energy = -43.81 eV for the cell shown